This record from the Alexandria database describes a geometry-optimized Cr2CdIrO8 structure. The functional is PBE with a Hubbard U.

Values from the calculation:
**Energy**: -6.46 eV per atom

abc: 4.6112 6.3580 4.6463
angles: 90.00 90.04 90.00
Space group P2/m (No. 10)
One atom of each set of equivalent atoms:
Cr: 0.0000 0.2484 0.0000 x2
Cd: 0.5000 0.0000 0.5000 x1
Ir: 0.5000 0.5000 0.5000 x1
O: 0.1802 0.0000 0.8281 x2
O: 0.2048 0.5000 0.8020 x2
O: 0.2893 0.2860 0.2970 x4